The following is a DFT calculation (PBE with a Hubbard U) of a geometry-optimized Ba3CeCo2O8 structure.

POSCAR file:
```
Ba3CeCo2O8
1.0
6.029 0.000 0.000
-3.015 5.221 0.000
0.000 0.000 7.653
Ba Ce Co O
3 1 2 8
direct
0.333 0.667 0.660 Ba
0.667 0.333 0.340 Ba
0.000 0.000 0.000 Ba
0.000 0.000 0.500 Ce
0.333 0.667 0.213 Co
0.667 0.333 0.787 Co
0.333 0.667 0.982 O
0.667 0.333 0.018 O
0.170 0.830 0.321 O
0.830 0.170 0.679 O
0.170 0.339 0.321 O
0.830 0.661 0.679 O
0.661 0.830 0.321 O
0.339 0.170 0.679 O
```

Calculated values
Its space group is No. 164. Its total magnetization is 8.00 μB per cell. As for the mass density: 5.5 g/cm³. The uncorrected energy is -6.581 eV per atom.